Entry 1:
This record from Alexandria describes an optimized crystal structure of DyHf2UN4. The functional is PBE.

## Properties
- crystal system = tetragonal
- mass density (g/cm³) = 13.00
- energy relative to the elements, uncorrected (eV per atom) = -1.62

```
DyHf2UN4
1.0
4.7168 0.0023 0.0000
-0.0024 4.7168 0.0000
-2.3572 -2.3596 4.6690
Dy Hf U N
1 2 1 4
direct
0.5000 0.5000 0.0000
0.2500 0.7500 0.5000
0.0000 0.0000 0.0000
0.7500 0.2500 0.5000
0.9983 0.4983 0.9966
0.5017 0.0017 0.0034
0.7581 0.7581 0.5162
0.2419 0.2419 0.4838
```

=====

Entry 2:
This record from Alexandria describes an optimized crystal structure of DyHfU2N4. The functional is PBE.

## Properties
- crystal system = monoclinic
- mass density (g/cm³) = 13.19
- energy relative to the elements, uncorrected (eV per atom) = -1.52

```
DyHfU2N4
1.0
-1.3915 -0.5453 2.9982
-5.1525 -0.9881 -2.5710
2.9517 -5.1330 0.4363
Dy Hf U N
1 1 2 4
direct
0.5000 0.5000 0.0000
0.0000 0.0000 0.0000
0.5000 0.0000 0.5000
0.0000 0.5000 0.5000
0.5000 0.2300 0.2353
0.5000 0.7700 0.7647
0.0000 0.2343 0.7543
0.0000 0.7657 0.2457
```

=====

Entry 3:
This record from Alexandria describes an optimized crystal structure of Dy2YHfN4. The functional is PBE.

## Properties
- crystal system = monoclinic
- mass density (g/cm³) = 9.73
- energy relative to the elements, uncorrected (eV per atom) = -1.75

```
Dy2YHfN4
1.0
3.3866 0.0000 0.0000
0.0000 5.8813 0.1153
0.0000 -2.0441 5.5157
Dy Y Hf N
2 1 1 4
direct
0.5000 0.0000 0.5000
0.0000 0.5000 0.5000
0.5000 0.5000 0.0000
0.0000 0.0000 0.0000
0.5000 0.2323 0.2327
0.5000 0.7677 0.7673
0.0000 0.2388 0.7602
0.0000 0.7612 0.2398
```

=====

Entry 4:
This record from Alexandria describes an optimized crystal structure of Dy2YHf3N6. The functional is PBE.

## Properties
- crystal system = monoclinic
- mass density (g/cm³) = 11.00
- energy relative to the elements, uncorrected (eV per atom) = -1.79

```
Dy2YHf3N6
1.0
-1.9267 -5.3049 -0.9760
2.1236 3.1108 -4.3152
4.9425 -1.2740 2.7841
Dy Y Hf N
2 1 3 6
direct
0.3333 0.6667 0.0000
0.6667 0.3333 0.0000
0.0000 0.0000 0.0000
0.1667 0.8333 0.5000
0.8333 0.1667 0.5000
0.5000 0.5000 0.5000
0.9082 0.5743 0.7246
0.7580 0.7580 0.2756
0.0918 0.4257 0.2754
0.5743 0.9082 0.7246
0.2420 0.2420 0.7244
0.4257 0.0918 0.2754
```

=====

Entry 5:
This record from Alexandria describes an optimized crystal structure of DyHfZr2N4. The functional is PBE.

## Properties
- crystal system = monoclinic
- mass density (g/cm³) = 9.51
- energy relative to the elements, uncorrected (eV per atom) = -1.72

```
DyHfZr2N4
1.0
3.2815 0.0000 0.0000
0.0000 5.7172 0.1129
0.0000 -1.9842 5.3517
Dy Hf Zr N
1 1 2 4
direct
0.5000 0.5000 0.0000
0.0000 0.0000 0.0000
0.5000 0.0000 0.5000
0.0000 0.5000 0.5000
0.5000 0.2362 0.2448
0.5000 0.7638 0.7552
0.0000 0.2347 0.7452
0.0000 0.7653 0.2548
```

=====

Entry 6:
This record from Alexandria describes an optimized crystal structure of Dy4HfZr3N8. The functional is PBE.

## Properties
- crystal system = trigonal
- mass density (g/cm³) = 9.50
- energy relative to the elements, uncorrected (eV per atom) = -1.74

```
Dy4HfZr3N8
1.0
-4.0244 -1.2700 -5.1617
5.3587 -0.8514 -3.9685
-0.5557 -3.5538 5.6136
Dy Hf Zr N
4 1 3 8
direct
0.5000 0.0000 0.0000
0.5000 0.0000 0.5000
0.0000 0.0000 0.0000
0.0000 0.0000 0.5000
0.0000 0.5000 0.0000
0.5000 0.5000 0.0000
0.5000 0.5000 0.5000
0.0000 0.5000 0.5000
0.2411 0.7303 0.9892
0.2411 0.7303 0.4823
0.2556 0.2668 0.5112
0.7481 0.7303 0.9892
0.2519 0.2697 0.0108
0.7444 0.7332 0.4888
0.7589 0.2697 0.5177
0.7589 0.2697 0.0108
```

=====

Entry 7:
This record from Alexandria describes an optimized crystal structure of Dy3HfZr2N6. The functional is PBE.

## Properties
- crystal system = monoclinic
- mass density (g/cm³) = 9.75
- energy relative to the elements, uncorrected (eV per atom) = -1.75

```
Dy3HfZr2N6
1.0
5.7698 0.0027 -0.0002
-2.8811 4.9989 -0.0002
-0.9638 -1.6689 5.5036
Dy Hf Zr N
3 1 2 6
direct
0.1671 0.8329 0.5000
0.8329 0.1671 0.5000
0.5000 0.5000 0.5000
0.0000 0.0000 0.0000
0.3338 0.6662 0.0000
0.6662 0.3338 0.0000
0.9233 0.5958 0.7698
0.7493 0.7493 0.2305
0.0767 0.4042 0.2302
0.5958 0.9233 0.7698
0.2507 0.2507 0.7695
0.4042 0.0767 0.2302
```

=====

Entry 8:
This record from Alexandria describes an optimized crystal structure of Dy2HfZr3N6. The functional is PBE.

## Properties
- crystal system = monoclinic
- mass density (g/cm³) = 9.26
- energy relative to the elements, uncorrected (eV per atom) = -1.72

```
Dy2HfZr3N6
1.0
-2.0720 -2.5577 4.6936
5.2440 2.3149 0.0791
-3.1682 4.8022 0.0477
Dy Hf Zr N
2 1 3 6
direct
0.3334 0.6666 0.0000
0.6666 0.3334 0.0000
0.0000 0.0000 0.0000
0.1666 0.8334 0.5000
0.8334 0.1666 0.5000
0.5000 0.5000 0.5000
0.9153 0.5960 0.7458
0.7659 0.7659 0.2570
0.0847 0.4040 0.2542
0.5960 0.9153 0.7458
0.2341 0.2341 0.7430
0.4040 0.0847 0.2542
```

=====

Entry 9:
This record from Alexandria describes an optimized crystal structure of Dy2HfZrN4. The functional is PBE.

## Properties
- crystal system = monoclinic
- mass density (g/cm³) = 10.25
- energy relative to the elements, uncorrected (eV per atom) = -1.76

```
Dy2HfZrN4
1.0
-0.1780 3.1514 1.0519
-5.7255 -0.4622 0.4158
2.4269 -1.5531 5.0637
Dy Hf Zr N
2 1 1 4
direct
0.5000 0.0000 0.5000
0.0000 0.5000 0.5000
0.0000 0.0000 0.0000
0.5000 0.5000 0.0000
0.5000 0.2383 0.2275
0.5000 0.7617 0.7725
0.0000 0.2517 0.7697
0.0000 0.7483 0.2303
```

=====

Entry 10:
This record from Alexandria describes an optimized crystal structure of DyHf3Zr2N6. The functional is PBE.

## Properties
- crystal system = monoclinic
- mass density (g/cm³) = 10.83
- energy relative to the elements, uncorrected (eV per atom) = -1.75

```
DyHf3Zr2N6
1.0
5.6370 -0.0030 0.0029
-2.8197 4.8811 0.0029
-0.9369 -1.6222 5.3719
Dy Hf Zr N
1 3 2 6
direct
0.0000 0.0000 0.0000
0.1667 0.8333 0.5000
0.8333 0.1667 0.5000
0.5000 0.5000 0.5000
0.3328 0.6672 0.0000
0.6672 0.3328 0.0000
0.9099 0.5734 0.7305
0.7514 0.7514 0.2661
0.0901 0.4266 0.2695
0.5734 0.9099 0.7305
0.2486 0.2486 0.7339
0.4266 0.0901 0.2695
```

=====

Entry 11:
This record from Alexandria describes an optimized crystal structure of NaDy2Hf. The functional is PBE.

## Properties
- DFT formation energy (eV per formula unit) = 0.6
- crystal system = tetragonal
- mass density (g/cm³) = 7.37

```
NaDy2Hf
1.0
-0.6306 0.7871 3.2214
-2.4683 -2.3012 0.0791
6.8253 -7.2145 3.0988
Na Hf Dy
1 1 2
direct
0.5000 0.5000 0.5000
0.5000 0.5000 0.0000
0.0000 0.0000 0.7848
0.0000 0.0000 0.2152
```

=====

Entry 12:
This record from Alexandria describes an optimized crystal structure of Na2DyHfS4. The functional is PBE.

## Properties
- crystal system = monoclinic
- mass density (g/cm³) = 5.04
- energy relative to the elements, uncorrected (eV per atom) = -1.63

```
Na2DyHfS4
1.0
-2.6382 -0.4002 -2.7016
-3.2536 -4.3348 3.8194
-2.4710 6.4783 1.4533
Na Dy Hf S
2 1 1 4
direct
0.5000 0.0000 0.5000
0.0000 0.5000 0.5000
0.0000 0.0000 0.0000
0.5000 0.5000 0.0000
0.5000 0.2576 0.2275
0.5000 0.7424 0.7725
0.0000 0.2729 0.7788
0.0000 0.7271 0.2212
```